Record 1
Below is a relaxed structure of Nd4SmY2Sc, with properties calculated at the GGA-PBE level.

Unit cell a=5.857 b=5.877 c=7.653 alpha=90.00 beta=90.00 gamma=90.00
Element x y z (fractional)
Nd: 0.000 0.000 0.236
Nd: 0.000 0.000 0.764
Nd: 0.500 0.500 0.237
Nd: 0.500 0.500 0.763
Sm: 0.000 0.500 0.500
Y: 0.000 0.500 0.000
Y: 0.500 0.000 0.500
Sc: 0.500 0.000 0.000

Values from the calculation:
SG = Pmmm, No. 47
V = 32.9 Å³/atom
Total magnetic moment = 0.0000 μB/atom
Calculated formation energy = 102.0 meV/atom

***

Record 2
Below is a relaxed structure of NdSmYSc, with properties calculated at the GGA-PBE level.

Unit cell a=5.621 b=5.621 c=5.621 alpha=60.00 beta=60.00 gamma=60.00
Element x y z (fractional)
Nd: 0.000 0.000 0.000
Sm: 0.500 0.500 0.500
Y: 0.750 0.750 0.750
Sc: 0.250 0.250 0.250

Values from the calculation:
SG = F-43m, No. 216
V = 31.4 Å³/atom
ΔE to the lowest computed polymorph = 9.0 meV/atom
Total magnetic moment = 0.0000 μB/atom
Calculated formation energy = 103.8 meV/atom

***

Record 3
Below is a relaxed structure of Nd3Sm2Y6Sc, with properties calculated at the GGA-PBE level.

Unit cell a=6.210 b=6.210 c=11.844 alpha=95.00 beta=95.00 gamma=119.99
Element x y z (fractional)
Nd: 0.000 0.000 0.000
Nd: 0.333 0.667 0.000
Nd: 0.667 0.333 0.000
Sm: 0.166 0.834 0.500
Sm: 0.834 0.166 0.500
Y: 0.088 0.419 0.254
Y: 0.251 0.251 0.746
Y: 0.419 0.088 0.254
Y: 0.581 0.912 0.746
Y: 0.749 0.749 0.254
Y: 0.912 0.581 0.746
Sc: 0.500 0.500 0.500

Values from the calculation:
SG = C2/m, No. 12
V = 32.5 Å³/atom
Total magnetic moment = 0.0000 μB/atom
Calculated formation energy = 26.1 meV/atom

***

Record 4
Below is a relaxed structure of Nd5Sm2YSc, with properties calculated at the GGA-PBE level.

Unit cell a=10.397 b=10.397 c=10.397 alpha=131.82 beta=131.82 gamma=70.51
Element x y z (fractional)
Nd: 0.000 0.000 0.000
Nd: 0.071 0.571 0.930
Nd: 0.140 0.071 0.500
Nd: 0.360 0.860 0.930
Nd: 0.429 0.360 0.500
Nd: 0.500 0.500 0.000
Nd: 0.571 0.640 0.500
Nd: 0.640 0.140 0.070
Nd: 0.860 0.929 0.500
Nd: 0.929 0.429 0.070
Sm: 0.124 0.376 0.500
Sm: 0.376 0.876 0.251
Sm: 0.624 0.124 0.749
Sm: 0.876 0.624 0.500
Y: 0.250 0.250 0.000
Y: 0.750 0.750 0.000
Sc: 0.250 0.750 0.500
Sc: 0.750 0.250 0.500

Values from the calculation:
SG = I4/mcm, No. 140
V = 34.0 Å³/atom
Total magnetic moment = 0.0000 μB/atom
Calculated formation energy = 287.2 meV/atom

***

- Number 3 is which compound?
  Nd3Sm2Y6Sc

***

- Which formula does entry 1 have?
  Nd4SmY2Sc

***

- Which of these has the highest V?
  Nd5Sm2YSc